(1)
Below is a geometry-optimized Rb2InCl3 structure, with properties calculated at the PBE level.

```
data_Rb2InCl3
_cell_length_a 16.7766
_cell_length_b 9.6145
_cell_length_c 6.6129
_cell_angle_alpha 90.00
_cell_angle_beta 90.00
_cell_angle_gamma 90.00
_symmetry_space_group_name_H-M 'C m c 21'
_symmetry_Int_Tables_number 36
loop_
_symmetry_equiv_pos_as_xyz
'x,y,z'
'-x,-y,z+1/2'
'-x,y,z'
'x,-y,z+1/2'
'x+1/2,y+1/2,z'
'-x+1/2,-y+1/2,z+1/2'
'-x+1/2,y+1/2,z'
'x+1/2,-y+1/2,z+1/2'
loop_
_atom_site_label
_atom_site_type_symbol
_atom_site_fract_x
_atom_site_fract_y
_atom_site_fract_z
Rb1 Rb 0.1641 0.1724 0.0000
In1 In 0.0000 0.3283 0.5071
Cl1 Cl 0.0000 0.3465 0.0688
Cl2 Cl 0.1637 0.1682 0.4992
```



(2)
Below is a geometry-optimized RbInS2Cl structure, with properties calculated at the PBE level.

```
data_RbInS2Cl
_cell_length_a 6.1011
_cell_length_b 6.1011
_cell_length_c 6.1259
_cell_angle_alpha 90.00
_cell_angle_beta 90.00
_cell_angle_gamma 90.00
_symmetry_space_group_name_H-M 'P 4/m m m'
_symmetry_Int_Tables_number 123
_symmetry_space_group_name_Hall '-P 4 2'
loop_
_atom_site_label
_atom_site_type_symbol
_atom_site_fract_x
_atom_site_fract_y
_atom_site_fract_z
Rb1 Rb 0.0000 0.0000 0.0000
In1 In 0.5000 0.5000 0.5000
S1 S 0.0000 0.5000 0.0000
Cl1 Cl 0.0000 0.0000 0.5000
```



(3)
Below is a geometry-optimized RbInS2Cl structure, with properties calculated at the PBE level.

```
data_RbInS2Cl
_cell_length_a 5.1807
_cell_length_b 5.1807
_cell_length_c 5.6528
_cell_angle_alpha 90.00
_cell_angle_beta 90.00
_cell_angle_gamma 90.00
_symmetry_space_group_name_H-M 'P 4/m m m'
_symmetry_Int_Tables_number 123
_symmetry_space_group_name_Hall '-P 4 2'
loop_
_atom_site_label
_atom_site_type_symbol
_atom_site_fract_x
_atom_site_fract_y
_atom_site_fract_z
Rb1 Rb 0.0000 0.0000 0.0000
In1 In 0.5000 0.5000 0.5000
S1 S 0.0000 0.5000 0.5000
Cl1 Cl 0.5000 0.5000 0.0000
```



(4)
Below is a geometry-optimized Rb2ScIn2Cl6 structure, with properties calculated at the PBE level.

```
data_Rb2ScIn2Cl6
_cell_length_a 7.5899
_cell_length_b 13.7408
_cell_length_c 8.3636
_cell_angle_alpha 90.00
_cell_angle_beta 105.04
_cell_angle_gamma 90.00
_symmetry_space_group_name_H-M 'C 1 2/m 1'
_symmetry_Int_Tables_number 12
loop_
_symmetry_equiv_pos_as_xyz
'x,y,z'
'-x,-y,-z'
'-x,y,-z'
'x,-y,z'
'x+1/2,y+1/2,z'
'-x+1/2,-y+1/2,-z'
'-x+1/2,y+1/2,-z'
'x+1/2,-y+1/2,z'
loop_
_atom_site_label
_atom_site_type_symbol
_atom_site_fract_x
_atom_site_fract_y
_atom_site_fract_z
Rb1 Rb 0.0000 0.1655 0.0000
Sc1 Sc 0.0000 0.5000 0.0000
In1 In 0.0000 0.2501 0.5000
Cl1 Cl 0.0774 0.3688 0.8144
Cl2 Cl 0.1828 0.0000 0.8208
```



(5)
Below is a geometry-optimized RbInSeCl2 structure, with properties calculated at the PBE level.

```
data_RbInSeCl2
_cell_length_a 5.3929
_cell_length_b 5.3929
_cell_length_c 5.2346
_cell_angle_alpha 90.00
_cell_angle_beta 90.00
_cell_angle_gamma 90.00
_symmetry_space_group_name_H-M 'P 4/m m m'
_symmetry_Int_Tables_number 123
_symmetry_space_group_name_Hall '-P 4 2'
loop_
_atom_site_label
_atom_site_type_symbol
_atom_site_fract_x
_atom_site_fract_y
_atom_site_fract_z
Rb1 Rb 0.0000 0.0000 0.0000
In1 In 0.5000 0.5000 0.5000
Se1 Se 0.5000 0.5000 0.0000
Cl1 Cl 0.0000 0.5000 0.5000
```



(6)
Below is a geometry-optimized Rb2SmInCl6 structure, with properties calculated at the PBE level.

```
data_Rb2SmInCl6
_cell_length_a 7.7492
_cell_length_b 8.2100
_cell_length_c 13.4706
_cell_angle_alpha 90.00
_cell_angle_beta 124.26
_cell_angle_gamma 90.00
_symmetry_space_group_name_H-M 'P 1 21/c 1'
_symmetry_Int_Tables_number 14
loop_
_symmetry_equiv_pos_as_xyz
'x,y,z'
'-x,-y,-z'
'-x,y+1/2,-z+1/2'
'x,-y+1/2,z+1/2'
loop_
_atom_site_label
_atom_site_type_symbol
_atom_site_fract_x
_atom_site_fract_y
_atom_site_fract_z
Rb1 Rb 0.2212 0.0705 0.2467
Sm1 Sm 0.5000 0.0000 0.0000
In1 In 0.0000 0.0000 0.5000
Cl1 Cl 0.1648 0.1805 0.9480
Cl2 Cl 0.2625 0.7249 0.9347
Cl3 Cl 0.3848 0.0446 0.7705
```



(7)
Below is a geometry-optimized RbSmIn2Cl6 structure, with properties calculated at the PBE level.

```
data_RbSmIn2Cl6
_cell_length_a 7.9232
_cell_length_b 7.9276
_cell_length_c 8.1538
_cell_angle_alpha 60.95
_cell_angle_beta 60.94
_cell_angle_gamma 60.03
_symmetry_space_group_name_H-M 'P 1'
_symmetry_Int_Tables_number 1
loop_
_symmetry_equiv_pos_as_xyz
'x,y,z'
loop_
_atom_site_label
_atom_site_type_symbol
_atom_site_fract_x
_atom_site_fract_y
_atom_site_fract_z
Rb1 Rb 0.0000 0.0000 0.0000
Sm1 Sm 0.4897 0.4898 0.5306
In1 In 0.2867 0.2873 0.1395
In2 In 0.7917 0.7917 0.6249
Cl1 Cl 0.1375 0.3999 0.7948
Cl2 Cl 0.2443 0.8251 0.3265
Cl3 Cl 0.3996 0.6674 0.7952
Cl4 Cl 0.6043 0.2444 0.3263
Cl5 Cl 0.6671 0.1382 0.7951
Cl6 Cl 0.8251 0.6043 0.3267
```



(8)
Below is a geometry-optimized RbInSnCl6 structure, with properties calculated at the PBE level.

```
data_RbInSnCl6
_cell_length_a 7.1653
_cell_length_b 7.1653
_cell_length_c 7.1157
_cell_angle_alpha 90.00
_cell_angle_beta 90.00
_cell_angle_gamma 120.00
_symmetry_space_group_name_H-M 'P 3 1 2'
_symmetry_Int_Tables_number 149
loop_
_symmetry_equiv_pos_as_xyz
'x,y,z'
'-y,x-y,z'
'-x+y,-x,z'
'-y,-x,-z'
'-x+y,y,-z'
'x,x-y,-z'
loop_
_atom_site_label
_atom_site_type_symbol
_atom_site_fract_x
_atom_site_fract_y
_atom_site_fract_z
Rb1 Rb 0.0000 0.0000 0.0000
In1 In 0.6667 0.3333 0.5000
Sn1 Sn 0.3333 0.6667 0.5000
Cl1 Cl 0.3866 0.0324 0.7098
```



(9)
Below is a geometry-optimized RbIn2Sn2Cl7 structure, with properties calculated at the PBE level.

```
data_RbIn2Sn2Cl7
_cell_length_a 5.5540
_cell_length_b 24.1428
_cell_length_c 6.3185
_cell_angle_alpha 90.00
_cell_angle_beta 90.00
_cell_angle_gamma 90.00
_symmetry_space_group_name_H-M 'I m m 2'
_symmetry_Int_Tables_number 44
loop_
_symmetry_equiv_pos_as_xyz
'x,y,z'
'-x,-y,z'
'-x,y,z'
'x,-y,z'
'x+1/2,y+1/2,z+1/2'
'-x+1/2,-y+1/2,z+1/2'
'-x+1/2,y+1/2,z+1/2'
'x+1/2,-y+1/2,z+1/2'
loop_
_atom_site_label
_atom_site_type_symbol
_atom_site_fract_x
_atom_site_fract_y
_atom_site_fract_z
Rb1 Rb 0.0000 0.0000 0.0000
In1 In 0.0000 0.2897 0.5355
Sn1 Sn 0.0000 0.3903 0.9491
Cl1 Cl 0.0000 0.1045 0.4200
Cl2 Cl 0.0000 0.2686 0.0836
Cl3 Cl 0.0000 0.4138 0.3448
Cl4 Cl 0.0000 0.5000 0.8399
```



(10)
Below is a geometry-optimized Rb4InSn3Cl12 structure, with properties calculated at the PBE level.

```
data_Rb4InSn3Cl12
_cell_length_a 11.1054
_cell_length_b 11.1054
_cell_length_c 11.1054
_cell_angle_alpha 90.00
_cell_angle_beta 90.00
_cell_angle_gamma 90.00
_symmetry_space_group_name_H-M 'I m -3 m'
_symmetry_Int_Tables_number 229
_symmetry_space_group_name_Hall '-I 4 2 3'
loop_
_atom_site_label
_atom_site_type_symbol
_atom_site_fract_x
_atom_site_fract_y
_atom_site_fract_z
Rb1 Rb 0.2500 0.2500 0.2500
In1 In 0.0000 0.0000 0.0000
Sn1 Sn 0.0000 0.0000 0.5000
Cl1 Cl 0.0000 0.0000 0.2486
Cl2 Cl 0.0000 0.2500 0.5000
```



(11)
Below is a geometry-optimized Rb2In2SnCl6 structure, with properties calculated at the PBE level.

```
data_Rb2In2SnCl6
_cell_length_a 11.1435
_cell_length_b 8.0190
_cell_length_c 8.7998
_cell_angle_alpha 90.00
_cell_angle_beta 108.47
_cell_angle_gamma 90.00
_symmetry_space_group_name_H-M 'C 1 2/m 1'
_symmetry_Int_Tables_number 12
loop_
_symmetry_equiv_pos_as_xyz
'x,y,z'
'-x,-y,-z'
'-x,y,-z'
'x,-y,z'
'x+1/2,y+1/2,z'
'-x+1/2,-y+1/2,-z'
'-x+1/2,y+1/2,-z'
'x+1/2,-y+1/2,z'
loop_
_atom_site_label
_atom_site_type_symbol
_atom_site_fract_x
_atom_site_fract_y
_atom_site_fract_z
Rb1 Rb 0.1957 0.0000 0.1199
In1 In 0.1073 0.5000 0.1920
Sn1 Sn 0.0000 0.0000 0.5000
Cl1 Cl 0.0548 0.2306 0.7765
Cl2 Cl 0.2479 0.5000 0.5038
```



(12)
Below is a geometry-optimized RbInSn2Cl8 structure, with properties calculated at the PBE level.

```
data_RbInSn2Cl8
_cell_length_a 6.5630
_cell_length_b 7.3221
_cell_length_c 8.7944
_cell_angle_alpha 93.90
_cell_angle_beta 111.22
_cell_angle_gamma 99.91
_symmetry_space_group_name_H-M 'P -1'
_symmetry_Int_Tables_number 2
loop_
_symmetry_equiv_pos_as_xyz
'x,y,z'
'-x,-y,-z'
loop_
_atom_site_label
_atom_site_type_symbol
_atom_site_fract_x
_atom_site_fract_y
_atom_site_fract_z
Rb1 Rb 0.0000 0.0000 0.0000
In1 In 0.5000 0.0000 0.5000
Sn1 Sn 0.3360 0.4231 0.7367
Cl1 Cl 0.1364 0.7502 0.4012
Cl2 Cl 0.2471 0.4302 0.0070
Cl3 Cl 0.2968 0.2435 0.3795
Cl4 Cl 0.4457 0.0926 0.7811
```



(13)
Below is a geometry-optimized RbIn2SnCl8 structure, with properties calculated at the PBE level.

```
data_RbIn2SnCl8
_cell_length_a 6.9434
_cell_length_b 6.9434
_cell_length_c 29.2839
_cell_angle_alpha 90.00
_cell_angle_beta 90.00
_cell_angle_gamma 120.00
_symmetry_space_group_name_H-M 'R -3'
_symmetry_Int_Tables_number 148
_symmetry_space_group_name_Hall '-R 3'
loop_
_atom_site_label
_atom_site_type_symbol
_atom_site_fract_x
_atom_site_fract_y
_atom_site_fract_z
Rb1 Rb 0.0000 0.0000 0.0000
In1 In 0.0000 0.0000 0.2495
Sn1 Sn 0.0000 0.0000 0.5000
Cl1 Cl 0.0000 0.0000 0.3327
Cl2 Cl 0.0053 0.6859 0.1090
```



(14)
Below is a geometry-optimized Rb2InSn2Cl7 structure, with properties calculated at the PBE level.

```
data_Rb2InSn2Cl7
_cell_length_a 7.9678
_cell_length_b 7.8736
_cell_length_c 14.2680
_cell_angle_alpha 90.00
_cell_angle_beta 105.39
_cell_angle_gamma 90.00
_symmetry_space_group_name_H-M 'C 1 2/m 1'
_symmetry_Int_Tables_number 12
loop_
_symmetry_equiv_pos_as_xyz
'x,y,z'
'-x,-y,-z'
'-x,y,-z'
'x,-y,z'
'x+1/2,y+1/2,z'
'-x+1/2,-y+1/2,-z'
'-x+1/2,y+1/2,-z'
'x+1/2,-y+1/2,z'
loop_
_atom_site_label
_atom_site_type_symbol
_atom_site_fract_x
_atom_site_fract_y
_atom_site_fract_z
Rb1 Rb 0.2216 0.0000 0.3601
In1 In 0.0000 0.0000 0.0000
Sn1 Sn 0.1207 0.5000 0.2047
Cl1 Cl 0.0000 0.5000 0.0000
Cl2 Cl 0.1162 0.2406 0.8036
Cl3 Cl 0.1801 0.5000 0.4048
```



(15)
Below is a geometry-optimized Rb2InSnCl5 structure, with properties calculated at the PBE level.

```
data_Rb2InSnCl5
_cell_length_a 4.4288
_cell_length_b 19.0714
_cell_length_c 15.3138
_cell_angle_alpha 90.00
_cell_angle_beta 90.00
_cell_angle_gamma 90.00
_symmetry_space_group_name_H-M 'C m c 21'
_symmetry_Int_Tables_number 36
loop_
_symmetry_equiv_pos_as_xyz
'x,y,z'
'-x,-y,z+1/2'
'-x,y,z'
'x,-y,z+1/2'
'x+1/2,y+1/2,z'
'-x+1/2,-y+1/2,z+1/2'
'-x+1/2,y+1/2,z'
'x+1/2,-y+1/2,z+1/2'
loop_
_atom_site_label
_atom_site_type_symbol
_atom_site_fract_x
_atom_site_fract_y
_atom_site_fract_z
Rb1 Rb 0.0000 0.0763 0.0000
Rb2 Rb 0.0000 0.1366 0.6472
In1 In 0.0000 0.4541 0.7965
Sn1 Sn 0.0000 0.2351 0.3874
Cl1 Cl 0.0000 0.0933 0.4271
Cl2 Cl 0.0000 0.2509 0.0145
Cl3 Cl 0.0000 0.2866 0.7673
Cl4 Cl 0.0000 0.3829 0.3407
Cl5 Cl 0.0000 0.4938 0.1160
```



(16)
Below is a geometry-optimized Rb2SrInCl5 structure, with properties calculated at the PBE level.

```
data_Rb2SrInCl5
_cell_length_a 5.5523
_cell_length_b 5.5523
_cell_length_c 11.6887
_cell_angle_alpha 90.00
_cell_angle_beta 90.00
_cell_angle_gamma 90.00
_symmetry_space_group_name_H-M 'P 4/m m m'
_symmetry_Int_Tables_number 123
_symmetry_space_group_name_Hall '-P 4 2'
loop_
_atom_site_label
_atom_site_type_symbol
_atom_site_fract_x
_atom_site_fract_y
_atom_site_fract_z
Rb1 Rb 0.0000 0.0000 0.2239
Sr1 Sr 0.5000 0.5000 0.0000
In1 In 0.5000 0.5000 0.5000
Cl1 Cl 0.0000 0.0000 0.5000
Cl2 Cl 0.0000 0.5000 0.0000
Cl3 Cl 0.5000 0.5000 0.2463
```



(17)
Below is a geometry-optimized RbTaInCl6 structure, with properties calculated at the PBE level.

```
data_RbTaInCl6
_cell_length_a 7.5706
_cell_length_b 7.5706
_cell_length_c 12.8191
_cell_angle_alpha 90.00
_cell_angle_beta 90.00
_cell_angle_gamma 120.00
_symmetry_space_group_name_H-M 'P -3 1 c'
_symmetry_Int_Tables_number 163
_symmetry_space_group_name_Hall '-P 3 2c'
loop_
_atom_site_label
_atom_site_type_symbol
_atom_site_fract_x
_atom_site_fract_y
_atom_site_fract_z
Rb1 Rb 0.0000 0.0000 0.0000
Ta1 Ta 0.3333 0.6667 0.2500
In1 In 0.3333 0.6667 0.7500
Cl1 Cl 0.0686 0.4059 0.1415
```



(18)
Below is a geometry-optimized RbTaIn2Cl8 structure, with properties calculated at the PBE level.

```
data_RbTaIn2Cl8
_cell_length_a 6.3495
_cell_length_b 8.1309
_cell_length_c 9.2308
_cell_angle_alpha 90.20
_cell_angle_beta 90.07
_cell_angle_gamma 112.52
_symmetry_space_group_name_H-M 'P -1'
_symmetry_Int_Tables_number 2
loop_
_symmetry_equiv_pos_as_xyz
'x,y,z'
'-x,-y,-z'
loop_
_atom_site_label
_atom_site_type_symbol
_atom_site_fract_x
_atom_site_fract_y
_atom_site_fract_z
Rb1 Rb 0.0000 0.0000 0.0000
Ta1 Ta 0.0000 0.0000 0.5000
In1 In 0.4988 0.5009 0.2331
Cl1 Cl 0.0431 0.8061 0.3172
Cl2 Cl 0.0475 0.8084 0.6819
Cl3 Cl 0.3947 0.1694 0.4988
Cl4 Cl 0.4673 0.7147 0.9999
```



(19)
Below is a geometry-optimized Rb2TaInCl6 structure, with properties calculated at the PBE level.

```
data_Rb2TaInCl6
_cell_length_a 11.0025
_cell_length_b 11.0025
_cell_length_c 11.0025
_cell_angle_alpha 90.00
_cell_angle_beta 90.00
_cell_angle_gamma 90.00
_symmetry_space_group_name_H-M 'F m -3 m'
_symmetry_Int_Tables_number 225
_symmetry_space_group_name_Hall '-F 4 2 3'
loop_
_atom_site_label
_atom_site_type_symbol
_atom_site_fract_x
_atom_site_fract_y
_atom_site_fract_z
Rb1 Rb 0.2500 0.2500 0.2500
Ta1 Ta 0.0000 0.0000 0.0000
In1 In 0.0000 0.0000 0.5000
Cl1 Cl 0.0000 0.0000 0.2252
```



(20)
Below is a geometry-optimized Rb2TbInCl6 structure, with properties calculated at the PBE level.

```
data_Rb2TbInCl6
_cell_length_a 7.7145
_cell_length_b 8.1524
_cell_length_c 13.4173
_cell_angle_alpha 90.00
_cell_angle_beta 124.42
_cell_angle_gamma 90.00
_symmetry_space_group_name_H-M 'P 1 21/c 1'
_symmetry_Int_Tables_number 14
loop_
_symmetry_equiv_pos_as_xyz
'x,y,z'
'-x,-y,-z'
'-x,y+1/2,-z+1/2'
'x,-y+1/2,z+1/2'
loop_
_atom_site_label
_atom_site_type_symbol
_atom_site_fract_x
_atom_site_fract_y
_atom_site_fract_z
Rb1 Rb 0.2234 0.0691 0.2477
Tb1 Tb 0.5000 0.0000 0.0000
In1 In 0.0000 0.0000 0.5000
Cl1 Cl 0.1701 0.1791 0.9497
Cl2 Cl 0.2662 0.7278 0.9373
Cl3 Cl 0.3830 0.0412 0.7728
```



Number 1: E_tot -0.23745 Ry/atom. Number 2: E_tot -0.17676 Ry/atom. Number 3: E_tot -0.25128 Ry/atom. Number 4: E_tot -0.27813 Ry/atom. Number 5: E_tot -0.23794 Ry/atom. Number 6: E_tot -0.28996 Ry/atom. Number 7: E_tot -0.28480 Ry/atom. Number 8: E_tot -0.24819 Ry/atom. Number 9: E_tot -0.24829 Ry/atom. Number 10: E_tot -0.25141 Ry/atom. Number 11: E_tot -0.24156 Ry/atom. Number 12: E_tot -0.24978 Ry/atom. Number 13: E_tot -0.23458 Ry/atom. Number 14: E_tot -0.24982 Ry/atom. Number 15: E_tot -0.24644 Ry/atom. Number 16: E_tot -0.25964 Ry/atom. Number 17: E_tot -0.31580 Ry/atom. Number 18: E_tot -0.29678 Ry/atom. Number 19: E_tot -0.30084 Ry/atom. Number 20: E_tot -0.28998 Ry/atom.